(a)
DFT (PBE-GGA) results for an optimized crystal structure of AcLa3Tl2.

Total magnetic moment (Bohr magnetons per cell): 0.0
SG: C2/m
Density of states at the Fermi level (states/eV/cell): 10.41

Cell: 5.1773 10.5802 8.8659 Å, 118.68 90.00 104.16°
Closest atoms and distances in Å follow each position.
Element x y z (fractional)
Tl 0.2402 0.4804 0.8418  5 La 3.26-3.55
La 0.0645 0.1289 0.4518  3 La 3.16-3.35, 2 Tl 3.29
La 0.3775 0.7550 0.2731  4 Tl 3.27-3.45, 3 La 3.35-3.63
Ac 0.8843 0.7686 0.9473  7 Tl 3.58-3.85, 4 La 3.91-3.93
La 0.6225 0.2450 0.7269  4 Tl 3.27-3.45, 3 La 3.35-3.63
La 0.6981 0.3962 0.4332  2 La 3.19, 2 Tl 3.26-3.27
Tl 0.7598 0.5196 0.1582  5 La 3.26-3.55
Ac 0.1157 0.2314 0.0527  7 Tl 3.58-3.85, 4 La 3.91-3.93
Tl 0.5156 0.0313 0.1889  1 Tl 3.08, 4 La 3.27-3.29
La 0.3019 0.6038 0.5668  2 La 3.19, 2 Tl 3.26-3.27
La 0.9355 0.8711 0.5482  3 La 3.16-3.35, 2 Tl 3.29
Tl 0.4844 0.9687 0.8111  1 Tl 3.08, 4 La 3.27-3.29


(b)
DFT (PBE-GGA) results for an optimized crystal structure of AcLa3Tl2.

Total magnetic moment (Bohr magnetons per cell): 0.0
SG: Pmc2_1
Density of states at the Fermi level (states/eV/cell): 16.80

Cell: 5.4002 7.1652 10.6659 Å, 90.00 90.00 90.00°
Closest atoms and distances in Å follow each position.
Element x y z (fractional)
Ac 0.5000 0.5566 0.5495  5 Tl 3.45-3.72, 2 La 3.62, 2 Ac 3.74
La 0.0000 0.4375 0.9490  5 Tl 3.46-3.70, 4 La 3.51-3.74
Tl 0.5000 0.7129 0.8676  8 La 3.32-3.70, 1 Ac 3.57
La 0.0000 0.8203 0.6907  4 Tl 3.38-3.48, 2 Ac 3.62
La 0.0000 0.9375 0.0510  5 Tl 3.46-3.70, 4 La 3.51-3.74
Tl 0.0000 0.2846 0.6348  5 La 3.38-3.53, 4 Ac 3.45-3.72
La 0.5000 0.6881 0.1787  4 Tl 3.32-3.44, 2 La 3.51
Ac 0.5000 0.0566 0.4505  5 Tl 3.45-3.72, 2 La 3.62, 2 Ac 3.74
La 0.5000 0.1881 0.8213  4 Tl 3.32-3.44, 2 La 3.51
La 0.0000 0.3203 0.3093  4 Tl 3.38-3.48, 2 Ac 3.62
Tl 0.5000 0.2129 0.1324  8 La 3.32-3.70, 1 Ac 3.57
Tl 0.0000 0.7846 0.3652  5 La 3.38-3.53, 4 Ac 3.45-3.72


(b) is preferred energetically. Next in line: 4.4 kJ/mol of atoms higher.


(a)
DFT (PBE-GGA) results for an optimized crystal structure of AcLa3Tl.

Total magnetic moment (Bohr magnetons per cell): 0.0
SG: C2/c
Density of states at the Fermi level (states/eV/cell): 24.15

Cell: 9.0048 9.0048 12.9778 Å, 92.14 92.14 43.03°
Closest atoms and distances in Å follow each position.
Element x y z (fractional)
Tl 0.5462 0.4538 0.7500  6 La 3.24-3.37
Tl 0.4538 0.5462 0.2500  6 La 3.24-3.37
La 0.9393 0.8582 0.3202  2 Tl 3.36-3.75, 5 La 3.47-3.70, 2 Ac 3.69-3.75
Tl 0.0000 0.5000 0.5000  6 La 3.41-3.75, 4 Ac 3.77-3.82
La 0.1418 0.0607 0.1798  2 Tl 3.36-3.75, 5 La 3.47-3.70, 2 Ac 3.69-3.75
Ac 0.0988 0.6076 0.0600  8 La 3.59-3.94, 3 Tl 3.68-3.82, 1 Ac 3.74
La 0.0607 0.1418 0.6798  2 Tl 3.36-3.75, 5 La 3.47-3.70, 2 Ac 3.69-3.75
Ac 0.9012 0.3924 0.9400  8 La 3.59-3.94, 3 Tl 3.68-3.82, 1 Ac 3.74
La 0.8582 0.9393 0.8202  2 Tl 3.36-3.75, 5 La 3.47-3.70, 2 Ac 3.69-3.75
La 0.7985 0.3004 0.4415  2 Tl 3.24-3.41, 2 La 3.47-3.50
Ac 0.6076 0.0988 0.5600  8 La 3.59-3.94, 3 Tl 3.68-3.82, 1 Ac 3.74
La 0.7355 0.6564 0.2186  2 Tl 3.37-3.57, 2 Ac 3.59-3.67, 3 La 3.60-3.70
La 0.2645 0.3436 0.7814  2 Tl 3.37-3.57, 2 Ac 3.59-3.67, 3 La 3.60-3.70
La 0.2015 0.6996 0.5585  2 Tl 3.24-3.41, 2 La 3.47-3.50
La 0.6564 0.7355 0.7186  2 Tl 3.37-3.57, 2 Ac 3.59-3.67, 3 La 3.60-3.70
La 0.3436 0.2645 0.2814  2 Tl 3.37-3.57, 2 Ac 3.59-3.67, 3 La 3.60-3.70
La 0.3004 0.7985 0.9415  2 Tl 3.24-3.41, 2 La 3.47-3.50
Ac 0.3924 0.9012 0.4400  8 La 3.59-3.94, 3 Tl 3.68-3.82, 1 Ac 3.74
La 0.6996 0.2015 0.0585  2 Tl 3.24-3.41, 2 La 3.47-3.50
Tl 0.5000 0.0000 0.0000  6 La 3.41-3.75, 4 Ac 3.77-3.82


(b)
DFT (PBE-GGA) results for an optimized crystal structure of AcLa3Tl.

Total magnetic moment (Bohr magnetons per cell): 0.0
SG: Cmcm
Density of states at the Fermi level (states/eV/cell): 12.81

Cell: 4.9878 5.1772 13.8365 Å, 90.00 79.62 90.00°
Closest atoms and distances in Å follow each position.
Element x y z (fractional)
La 0.2685 0.7500 0.1113  8 La 3.60-3.98, 2 Tl 3.64, 2 Ac 3.67
La 0.5725 0.2500 0.5034  4 La 3.60, 4 Tl 3.60-3.73, 4 Ac 3.70
La 0.0759 0.7500 0.4966  4 La 3.60, 4 Tl 3.60-3.73, 4 Ac 3.70
Tl 0.9770 0.2500 0.6943  4 Ac 3.59, 8 La 3.60-3.87
Tl 0.6713 0.7500 0.3057  4 Ac 3.59, 8 La 3.60-3.87
Ac 0.1730 0.2500 0.3024  4 Tl 3.59, 8 La 3.67-3.77
La 0.8716 0.7500 0.9052  8 La 3.60-3.75, 2 Ac 3.77, 2 Tl 3.87
La 0.3798 0.2500 0.8887  8 La 3.60-3.98, 2 Tl 3.64, 2 Ac 3.67
Ac 0.4754 0.7500 0.6976  4 Tl 3.59, 8 La 3.67-3.77
La 0.7768 0.2500 0.0948  8 La 3.60-3.75, 2 Ac 3.77, 2 Tl 3.87


(b) is preferred energetically. Next in line: 3.4 kJ/mol of atoms higher.


(a)
DFT (PBE-GGA) results for an optimized crystal structure of AcLa6Tl.

Total magnetic moment (Bohr magnetons per cell): 0.0
SG: P-1
Density of states at the Fermi level (states/eV/cell): 13.63

Cell: 9.1686 9.3291 6.6074 Å, 45.11 45.90 59.28°
Closest atoms and distances in Å follow each position.
Element x y z (fractional)
La 0.9865 0.4995 0.7479  1 La 3.10
Tl 0.0000 0.0000 0.0000  12 La 3.58-3.72
La 0.7659 0.9849 0.7529  1 La 3.10
La 0.0135 0.5005 0.2521  1 La 3.10
Ac 0.5000 0.5000 0.5000  12 La 3.71-3.77
La 0.4980 0.7646 0.7394  1 La 3.11
La 0.2341 0.0151 0.2471  1 La 3.10
La 0.5020 0.2354 0.2606  1 La 3.11


(b)
DFT (PBE-GGA) results for an optimized crystal structure of AcLa6Tl.

Total magnetic moment (Bohr magnetons per cell): 0.0
SG: P4/mmm
Density of states at the Fermi level (states/eV/cell): 9.92

Cell: 6.0049 6.0049 7.8664 Å, 90.00 90.00 90.00°
Closest atoms and distances in Å follow each position.
Element x y z (fractional)
La 0.5000 0.5000 0.5000  10 La 3.73-3.93
La 0.5000 0.5000 0.0000  8 La 3.46
La 0.5000 0.0000 0.2183  5 La 3.43-3.73, 2 Tl 3.46, 2 Ac 3.73
La 0.0000 0.5000 0.2183  5 La 3.43-3.73, 2 Tl 3.46, 2 Ac 3.73
La 0.5000 0.0000 0.7817  5 La 3.43-3.73, 2 Tl 3.46, 2 Ac 3.73
La 0.0000 0.5000 0.7817  5 La 3.43-3.73, 2 Tl 3.46, 2 Ac 3.73
Tl 0.0000 0.0000 0.0000  8 La 3.46
Ac 0.0000 0.0000 0.5000  8 La 3.73, 2 Tl 3.93


(b) is preferred energetically. Next in line: 2.7 kJ/mol of atoms higher.


(a)
DFT (PBE-GGA) results for an optimized crystal structure of AcLaTl3.

Total magnetic moment (Bohr magnetons per cell): 0.0
SG: Pnnm
Density of states at the Fermi level (states/eV/cell): 17.35

Cell: 8.2265 8.3128 9.7705 Å, 90.00 90.00 90.00°
Closest atoms and distances in Å follow each position.
Element x y z (fractional)
Ac 0.3250 0.1668 0.0000  6 Tl 3.36-3.52
La 0.1723 0.6640 0.0000  6 Tl 3.38-3.50
Tl 0.6310 0.1333 0.7503  3 Tl 3.09-3.23, 1 Ac 3.36, 1 La 3.38
Ac 0.6750 0.8332 0.0000  6 Tl 3.36-3.52
La 0.6723 0.8361 0.5000  6 Tl 3.38-3.50
Ac 0.8250 0.3332 0.5000  6 Tl 3.36-3.52
Tl 0.3690 0.8667 0.7503  3 Tl 3.09-3.23, 1 Ac 3.36, 1 La 3.38
Tl 0.8690 0.6333 0.7497  3 Tl 3.09-3.23, 1 Ac 3.36, 1 La 3.38
Tl 0.8690 0.6333 0.2503  3 Tl 3.09-3.23, 1 Ac 3.36, 1 La 3.38
La 0.3277 0.1639 0.5000  6 Tl 3.38-3.50
Tl 0.3690 0.8667 0.2497  3 Tl 3.09-3.23, 1 Ac 3.36, 1 La 3.38
Tl 0.0000 0.0000 0.7451  4 Tl 3.23
La 0.8277 0.3360 0.0000  6 Tl 3.38-3.50
Tl 0.0000 0.0000 0.2549  4 Tl 3.23
Tl 0.1310 0.3667 0.2503  3 Tl 3.09-3.23, 1 Ac 3.36, 1 La 3.38
Tl 0.1310 0.3667 0.7497  3 Tl 3.09-3.23, 1 Ac 3.36, 1 La 3.38
Tl 0.5000 0.5000 0.2451  4 Tl 3.23
Tl 0.5000 0.5000 0.7549  4 Tl 3.23
Ac 0.1750 0.6668 0.5000  6 Tl 3.36-3.52
Tl 0.6310 0.1333 0.2497  3 Tl 3.09-3.23, 1 Ac 3.36, 1 La 3.38


(b)
DFT (PBE-GGA) results for an optimized crystal structure of AcLaTl3.

Total magnetic moment (Bohr magnetons per cell): 0.0
SG: I-4m2
Density of states at the Fermi level (states/eV/cell): 10.31

Cell: 6.1729 6.1729 12.4743 Å, 104.33 104.33 90.00°
Closest atoms and distances in Å follow each position.
Element x y z (fractional)
Ac 0.6634 0.1634 0.3268  8 Tl 3.62-3.71, 1 Ac 4.05
La 0.0000 0.0000 0.0000  4 Tl 3.22
Tl 0.1197 0.8615 0.2395  2 Tl 2.98-3.19, 1 La 3.22
La 0.2500 0.7500 0.5000  8 Tl 3.09-3.39
Ac 0.8366 0.3366 0.6732  8 Tl 3.62-3.71, 1 Ac 4.05
Tl 0.1197 0.3780 0.2395  2 Tl 2.98-3.19, 1 La 3.22
Tl 0.7483 0.7483 0.4967  2 La 3.09
Tl 0.2517 0.2517 0.5033  2 La 3.09
Tl 0.6220 0.8803 0.7605  2 Tl 2.98-3.19, 1 La 3.22
Tl 0.1385 0.8803 0.7605  2 Tl 2.98-3.19, 1 La 3.22


(a) is preferred energetically. Next in line: 37.6 kJ/mol of atoms higher.


(a)
DFT (PBE-GGA) results for an optimized crystal structure of AcLa3Tl3.

Total magnetic moment (Bohr magnetons per cell): 0.0
SG: P6_3/m
Density of states at the Fermi level (states/eV/cell): 14.16

Cell: 5.4311 10.0957 10.0957 Å, 120.00 90.00 90.00°
Closest atoms and distances in Å follow each position.
Element x y z (fractional)
La 0.7500 0.9931 0.2386  4 Tl 3.28-3.50, 4 La 3.65
Tl 0.7500 0.9370 0.5537  4 La 3.28-3.50, 2 Tl 3.40, 1 Ac 3.57
La 0.2500 0.0069 0.7614  4 Tl 3.28-3.50, 4 La 3.65
La 0.7500 0.7614 0.7545  4 Tl 3.28-3.50, 4 La 3.65
Ac 0.7500 0.3333 0.6667  9 Tl 3.57-3.70, 3 La 3.95
Tl 0.7500 0.4463 0.3833  4 La 3.28-3.50, 2 Tl 3.40, 1 Ac 3.57
La 0.2500 0.7545 0.9931  4 Tl 3.28-3.50, 4 La 3.65
Tl 0.2500 0.0630 0.4463  4 La 3.28-3.50, 2 Tl 3.40, 1 Ac 3.57
La 0.7500 0.2455 0.0069  4 Tl 3.28-3.50, 4 La 3.65
La 0.2500 0.2386 0.2455  4 Tl 3.28-3.50, 4 La 3.65
Ac 0.2500 0.6667 0.3333  9 Tl 3.57-3.70, 3 La 3.95
Tl 0.2500 0.5537 0.6167  4 La 3.28-3.50, 2 Tl 3.40, 1 Ac 3.57
Tl 0.2500 0.3833 0.9370  4 La 3.28-3.50, 2 Tl 3.40, 1 Ac 3.57
Tl 0.7500 0.6167 0.0630  4 La 3.28-3.50, 2 Tl 3.40, 1 Ac 3.57


(b)
DFT (PBE-GGA) results for an optimized crystal structure of AcLa3Tl3.

Total magnetic moment (Bohr magnetons per cell): 0.0
SG: P2_13
Density of states at the Fermi level (states/eV/cell): 30.78

Cell: 9.9144 9.9144 9.9144 Å, 90.00 90.00 90.00°
Closest atoms and distances in Å follow each position.
Element x y z (fractional)
Tl 0.9975 0.2441 0.8800  6 La 3.30-3.57, 2 Ac 3.38-3.55
La 0.6774 0.6774 0.6774  6 Tl 3.34-3.51
Tl 0.7441 0.6200 0.0025  6 La 3.30-3.57, 2 Ac 3.38-3.55
Tl 0.1200 0.4975 0.2559  6 La 3.30-3.57, 2 Ac 3.38-3.55
Tl 0.5025 0.7559 0.3800  6 La 3.30-3.57, 2 Ac 3.38-3.55
La 0.8245 0.6755 0.3245  6 Tl 3.34-3.49
Tl 0.6200 0.0025 0.7441  6 La 3.30-3.57, 2 Ac 3.38-3.55
Tl 0.7559 0.3800 0.5025  6 La 3.30-3.57, 2 Ac 3.38-3.55
Tl 0.2441 0.8800 0.9975  6 La 3.30-3.57, 2 Ac 3.38-3.55
La 0.5777 0.0777 0.4223  6 Tl 3.30-3.57
Ac 0.4266 0.4266 0.4266  6 Tl 3.38-3.55, 3 La 3.77
La 0.1755 0.1755 0.1755  6 Tl 3.34-3.49
Ac 0.5734 0.9266 0.0734  6 Tl 3.38-3.55, 3 La 3.77
Tl 0.0025 0.7441 0.6200  6 La 3.30-3.57, 2 Ac 3.38-3.55
La 0.0777 0.4223 0.5777  6 Tl 3.30-3.57
La 0.6755 0.3245 0.8245  6 Tl 3.34-3.49
Ac 0.0734 0.5734 0.9266  6 Tl 3.38-3.55, 3 La 3.77
Ac 0.9266 0.0734 0.5734  6 Tl 3.38-3.55, 3 La 3.77
Tl 0.3800 0.5025 0.7559  6 La 3.30-3.57, 2 Ac 3.38-3.55
La 0.9223 0.9223 0.9223  6 Tl 3.30-3.57
Tl 0.2559 0.1200 0.4975  6 La 3.30-3.57, 2 Ac 3.38-3.55
La 0.1774 0.8226 0.3226  6 Tl 3.34-3.51
La 0.3226 0.1774 0.8226  6 Tl 3.34-3.51
La 0.4223 0.5777 0.0777  6 Tl 3.30-3.57
Tl 0.8800 0.9975 0.2441  6 La 3.30-3.57, 2 Ac 3.38-3.55
Tl 0.4975 0.2559 0.1200  6 La 3.30-3.57, 2 Ac 3.38-3.55
La 0.8226 0.3226 0.1774  6 Tl 3.34-3.51
La 0.3245 0.8245 0.6755  6 Tl 3.34-3.49


(b) is preferred energetically. Next in line: 2.7 kJ/mol of atoms higher.


(a)
DFT (PBE-GGA) results for an optimized crystal structure of Ac2LaTm.

Total magnetic moment (Bohr magnetons per cell): 0.0
SG: P4/mmm
Density of states at the Fermi level (states/eV/cell): 7.16

Cell: 3.8690 3.8690 10.3981 Å, 90.00 90.00 90.00°
Closest atoms and distances in Å follow each position.
Element x y z (fractional)
Tm 0.5000 0.5000 0.0000  8 Ac 3.70, 4 Tm 3.87
Ac 0.0000 0.0000 0.7601  4 Tm 3.70, 4 La 3.85, 4 Ac 3.87
La 0.5000 0.5000 0.5000  8 Ac 3.85, 4 La 3.87
Ac 0.0000 0.0000 0.2399  4 Tm 3.70, 4 La 3.85, 4 Ac 3.87


(b)
DFT (PBE-GGA) results for an optimized crystal structure of Ac2LaTm.

Total magnetic moment (Bohr magnetons per cell): 0.0
SG: P4/mmm
Density of states at the Fermi level (states/eV/cell): 4.95

Cell: 5.3078 5.4014 5.4014 Å, 90.00 90.00 90.00°
Closest atoms and distances in Å follow each position.
Element x y z (fractional)
Tm 0.5000 0.5000 0.5000  8 Ac 3.79, 4 La 3.82
Ac 0.0000 0.5000 0.0000  4 La 3.79, 4 Tm 3.79, 4 Ac 3.82
La 0.5000 0.0000 0.0000  8 Ac 3.79, 4 Tm 3.82
Ac 0.0000 0.0000 0.5000  4 La 3.79, 4 Tm 3.79, 4 Ac 3.82


(b) is preferred energetically. Next in line: 1.3 kJ/mol of atoms higher.